First-principles (GGA-PBE) data for a geometry-optimized Mn3ZnPb structure, as listed in Alexandria via LeMat-Bulk.

Cell lengths 5.209, 5.209, 5.209 Å; angles 90.00, 90.00, 90.00 degrees
Fractional positions:
Mn: 0.500 0.000 0.000
Mn: 0.000 0.000 0.500
Mn: 0.000 0.500 0.000
Pb: 0.000 0.000 0.000
Zn: 0.500 0.500 0.500

Output
E = -5.186 eV/atom
ΔH_f (0 K) = 1.313 eV/atom
size of the total moment = 13.02 μB per formula unit


First-principles (GGA-PBE) data for a geometry-optimized Si2AsCl structure, as listed in Alexandria via LeMat-Bulk.

Cell lengths 5.938, 5.938, 5.938 Å; angles 149.74, 134.61, 55.52 degrees
Fractional positions:
Cl: 0.745 0.245 0.500
Si: 0.048 0.048 0.000
Si: 0.248 0.748 0.500
As: 0.459 0.459 0.000

Output
uncorrected formation energy = 0.358 eV/atom
E = -3.977 eV/atom
size of the total moment = 0.00 μB per formula unit


First-principles (GGA-PBE) data for a geometry-optimized SbAsIr2 structure, as listed in Alexandria via LeMat-Bulk.

Cell lengths 5.231, 5.231, 5.231 Å; angles 135.99, 135.99, 64.00 degrees
Fractional positions:
Ir: 0.000 0.000 0.000
Ir: 0.250 0.750 0.500
As: 0.750 0.250 0.500
Sb: 0.500 0.500 0.000

Output
uncorrected formation energy = 0.318 eV/atom
E = -6.306 eV/atom
size of the total moment = 0.00 μB per formula unit


First-principles (GGA-PBE) data for a geometry-optimized TbPuZnIr structure, as listed in Alexandria via LeMat-Bulk.

Cell lengths 4.939, 4.939, 4.939 Å; angles 60.00, 60.00, 60.00 degrees
Fractional positions:
Tb: 0.750 0.750 0.750
Pu: 0.250 0.250 0.250
Ir: 0.500 0.500 0.500
Zn: 0.000 0.000 0.000

Output
E = -7.686 eV/atom
ΔH_f (0 K) = -0.412 eV/atom
size of the total moment = 5.16 μB per formula unit


First-principles (GGA-PBE) data for a geometry-optimized NbCd2Br structure, as listed in Alexandria via LeMat-Bulk.

Cell lengths 9.365, 9.365, 7.088 Å; angles 48.65, 48.65, 90.00 degrees
Fractional positions:
Br: 0.500 0.500 0.000
Br: 0.250 0.750 0.500
Cd: 0.708 0.125 0.250
Cd: 0.375 0.292 0.750
Cd: 0.042 0.625 0.250
Cd: 0.875 0.958 0.750
Nb: 0.000 0.000 0.000
Nb: 0.750 0.250 0.500

Output
uncorrected formation energy = 0.512 eV/atom
E = -2.881 eV/atom
size of the total moment = 0.00 μB per formula unit


First-principles (GGA-PBE) data for a geometry-optimized RbPaSb3 structure, as listed in Alexandria via LeMat-Bulk.

Cell lengths 5.954, 5.954, 5.954 Å; angles 90.00, 90.00, 90.00 degrees
Fractional positions:
Pa: 0.000 0.000 0.000
Sb: 0.500 0.000 0.000
Sb: 0.000 0.500 0.000
Sb: 0.000 0.000 0.500
Rb: 0.500 0.500 0.500

Output
uncorrected formation energy = -0.094 eV/atom
E = -4.661 eV/atom
size of the total moment = 0.00 μB per formula unit


First-principles (GGA-PBE) data for a geometry-optimized Pr2EuSi structure, as listed in Alexandria via LeMat-Bulk.

Cell lengths 4.185, 4.185, 10.106 Å; angles 78.05, 78.05, 60.00 degrees
Fractional positions:
Eu: 0.500 0.500 0.500
Si: 0.000 0.000 0.000
Pr: 0.277 0.277 0.169
Pr: 0.723 0.723 0.831

Output
uncorrected formation energy = -0.189 eV/atom
E = -6.503 eV/atom
size of the total moment = 8.48 μB per formula unit


First-principles (GGA-PBE) data for a geometry-optimized SrCuSb2 structure, as listed in Alexandria via LeMat-Bulk.

Cell lengths 5.975, 5.975, 5.350 Å; angles 73.51, 73.51, 40.72 degrees
Fractional positions:
Sr: 0.504 0.504 0.507
Cu: 0.309 0.309 0.070
Sb: 0.966 0.966 0.036
Sb: 0.721 0.721 0.888

Output
uncorrected formation energy = -0.329 eV/atom
E = -3.835 eV/atom
size of the total moment = 0.00 μB per formula unit


First-principles (GGA-PBE) data for a geometry-optimized LiPaCoPb structure, as listed in Alexandria via LeMat-Bulk.

Cell lengths 4.700, 4.700, 4.700 Å; angles 60.00, 60.00, 60.00 degrees
Fractional positions:
Pb: 0.750 0.750 0.750
Co: 0.500 0.500 0.500
Pa: 0.250 0.250 0.250
Li: 0.000 0.000 0.000

Output
E = -5.579 eV/atom
ΔH_f (0 K) = -0.023 eV/atom
size of the total moment = 0.69 μB per formula unit


First-principles (GGA-PBE) data for a geometry-optimized Ce4Bi3Sb structure, as listed in Alexandria via LeMat-Bulk.

Cell lengths 6.097, 5.962, 8.459 Å; angles 115.78, 111.12, 90.00 degrees
Fractional positions:
Sb: 0.000 0.000 0.000
Ce: 0.760 0.710 0.520
Ce: 0.097 0.632 0.195
Ce: 0.903 0.368 0.805
Ce: 0.240 0.290 0.480
Bi: 0.662 0.093 0.325
Bi: 0.338 0.907 0.675
Bi: 0.500 0.500 0.000

Output
uncorrected formation energy = -0.413 eV/atom
E = -5.351 eV/atom
size of the total moment = 5.14 μB per formula unit


First-principles (GGA-PBE) data for a geometry-optimized TbSm2ErSb4 structure, as listed in Alexandria via LeMat-Bulk.

Cell lengths 4.427, 7.664, 7.661 Å; angles 109.48, 90.00, 90.00 degrees
Fractional positions:
Sb: 0.500 0.246 0.243
Sb: 0.000 0.750 0.244
Sb: 0.000 0.250 0.756
Sb: 0.500 0.754 0.757
Tb: 0.500 0.500 0.000
Sm: 0.500 0.000 0.500
Sm: 0.000 0.500 0.500
Er: 0.000 0.000 0.000

Output
uncorrected formation energy = -1.147 eV/atom
E = -5.537 eV/atom
size of the total moment = 0.00 μB per formula unit


First-principles (GGA-PBE) data for a geometry-optimized BeNiW structure, as listed in Alexandria via LeMat-Bulk.

Cell lengths 5.129, 4.628, 3.247 Å; angles 69.47, 108.48, 88.73 degrees
Fractional positions:
Be: 0.907 0.749 0.330
Be: 0.269 0.939 0.417
Ni: 0.509 0.080 0.967
Ni: 0.667 0.608 0.779
W: 0.253 0.514 0.121
W: 0.923 0.174 0.626

Output
E = -7.635 eV/atom
ΔH_f (0 K) = -0.148 eV/atom
size of the total moment = 0.00 μB per formula unit


First-principles (GGA-PBE) data for a geometry-optimized NpGePd3 structure, as listed in Alexandria via LeMat-Bulk.

Cell lengths 5.203, 5.203, 8.993 Å; angles 106.82, 106.82, 90.00 degrees
Fractional positions:
Ge: 0.250 0.750 0.500
Ge: 0.000 0.000 0.000
Pd: 0.710 0.710 0.420
Pd: 0.124 0.378 0.248
Pd: 0.130 0.876 0.752
Pd: 0.124 0.870 0.248
Pd: 0.622 0.876 0.752
Pd: 0.290 0.290 0.580
Np: 0.892 0.392 0.785
Np: 0.608 0.108 0.215

Output
E = -6.675 eV/atom
ΔH_f (0 K) = -0.048 eV/atom
size of the total moment = 3.89 μB per formula unit


First-principles (GGA-PBE) data for a geometry-optimized KYSe structure, as listed in Alexandria via LeMat-Bulk.

Cell lengths 4.090, 4.090, 7.531 Å; angles 90.00, 90.00, 120.00 degrees
Fractional positions:
Y: 0.333 0.667 0.575
Se: 0.667 0.333 0.368
K: 0.000 0.000 0.057

Output
uncorrected formation energy = -0.904 eV/atom
E = -4.586 eV/atom
size of the total moment = 0.42 μB per formula unit


First-principles (GGA-PBE) data for a geometry-optimized LiMnFe2 structure, as listed in Alexandria via LeMat-Bulk.

Cell lengths 4.352, 4.352, 4.599 Å; angles 85.56, 85.56, 31.53 degrees
Fractional positions:
Fe: 0.748 0.748 0.745
Fe: 0.000 0.000 0.009
Mn: 0.253 0.253 0.238
Li: 0.499 0.499 0.508

Output
E = -6.721 eV/atom
ΔH_f (0 K) = 0.282 eV/atom
size of the total moment = 5.17 μB per formula unit


First-principles (GGA-PBE) data for a geometry-optimized Nd5Te4P structure, as listed in Alexandria via LeMat-Bulk.

Cell lengths 6.256, 7.703, 7.703 Å; angles 80.51, 66.04, 66.04 degrees
Fractional positions:
Nd: 0.734 0.173 0.362
Nd: 0.907 0.362 0.827
Nd: 0.096 0.638 0.173
Nd: 0.268 0.827 0.638
Nd: 0.501 0.000 0.000
Te: 0.194 0.216 0.398
Te: 0.410 0.398 0.784
Te: 0.808 0.784 0.602
Te: 0.592 0.602 0.216
P: 0.001 0.000 0.000

Output
uncorrected formation energy = -1.480 eV/atom
E = -5.662 eV/atom
size of the total moment = 0.00 μB per formula unit


First-principles (GGA-PBE) data for a geometry-optimized KBaSr structure, as listed in Alexandria via LeMat-Bulk.

Cell lengths 7.124, 7.124, 4.325 Å; angles 90.00, 90.00, 120.00 degrees
Fractional positions:
Ba: 0.000 0.000 0.029
K: 0.667 0.333 0.364
Sr: 0.333 0.667 0.607

Output
E = -1.464 eV/atom
ΔH_f (0 K) = 0.103 eV/atom
size of the total moment = 0.00 μB per formula unit


First-principles (GGA-PBE) data for a geometry-optimized Pm8Er4Mg structure, as listed in Alexandria via LeMat-Bulk.

Cell lengths 7.138, 7.138, 10.793 Å; angles 90.00, 109.31, 120.00 degrees
Fractional positions:
Er: 0.500 0.500 0.000
Er: 0.000 0.000 0.000
Er: 0.000 0.500 0.000
Er: 0.500 0.000 0.000
Pm: 0.025 0.255 0.280
Pm: 0.559 0.780 0.339
Pm: 0.975 0.230 0.720
Pm: 0.490 0.745 0.720
Pm: 0.975 0.745 0.720
Pm: 0.025 0.770 0.280
Pm: 0.510 0.255 0.280
Pm: 0.441 0.220 0.661
Mg: 0.000 0.500 0.500

Output
E = -4.277 eV/atom
ΔH_f (0 K) = 0.173 eV/atom
size of the total moment = 0.00 μB per formula unit


First-principles (GGA-PBE) data for a geometry-optimized Cu4AgP structure, as listed in Alexandria via LeMat-Bulk.

Cell lengths 4.889, 4.889, 4.889 Å; angles 60.00, 60.00, 60.00 degrees
Fractional positions:
P: 0.750 0.750 0.750
Ag: 0.000 0.000 0.000
Cu: 0.375 0.375 0.375
Cu: 0.875 0.375 0.375
Cu: 0.375 0.375 0.875
Cu: 0.375 0.875 0.375

Output
E = -3.889 eV/atom
ΔH_f (0 K) = 0.219 eV/atom
size of the total moment = 0.00 μB per formula unit


First-principles (GGA-PBE) data for a geometry-optimized HfZr6Bi structure, as listed in Alexandria via LeMat-Bulk.

Cell lengths 5.208, 6.375, 6.375 Å; angles 118.67, 90.00, 90.00 degrees
Fractional positions:
Zr: 0.000 0.344 0.656
Zr: 0.500 0.157 0.336
Zr: 0.000 0.840 0.658
Zr: 0.000 0.342 0.160
Zr: 0.000 0.833 0.167
Zr: 0.500 0.664 0.843
Hf: 0.500 0.657 0.343
Bi: 0.500 0.163 0.837

Output
E = -8.199 eV/atom
ΔH_f (0 K) = -0.059 eV/atom
size of the total moment = 0.00 μB per formula unit